(1)
The following is a DFT calculation (PBE-GGA) of a relaxed CeSm2Ho2Er2 crystal.

The structure belongs to space group C2/m (No. 12); the cell edges are 17.541, 3.468 and 8.265 Å and the angles 90.00°, 116.36° and 90.00°. The asymmetric unit holds Ce at (0.000, 0.000, 0.000), Sm at (0.144, 0.500, 0.884), Ho at (0.071, 0.500, 0.400) and Er at (0.211, 0.000, 0.295).



(2)
The following is a DFT calculation (PBE-GGA) of a relaxed CaPm3Cu2 crystal.

The structure belongs to space group Pmc2_1 (No. 26); the cell edges are 4.972, 8.887 and 7.325 Å and the angles 90.00°, 90.00° and 90.00°. The asymmetric unit holds Ca at (0.000, 0.076, 0.000), Pm at (0.000, 0.337, 0.629), Pm at (0.500, 0.173, 0.337), Pm at (0.500, 0.421, 0.965), Cu at (0.000, 0.352, 0.237) and Cu at (0.500, 0.151, 0.727).



no.,ΔH_f (0 K) (kJ/mol of formula units),N(E_F) (states/eV/f.u.),total moment (μB per atom)
1,102,12.24,0.00
2,-50,6.45,0.00